# RbVCrS3 | Alexandria | PBE-GGA | optimized geometry
data_RbVCrS3
_chemical_formula_sum 'Rb2 V2 Cr2 S6'
_symmetry_space_group_name_H-M 'P 1 21/m 1'
_symmetry_Int_Tables_number 11
_symmetry_space_group_name_Hall '-P 2yb'
_cell_length_a 8.407
_cell_length_b 3.540
_cell_length_c 9.260
_cell_angle_alpha 90.00
_cell_angle_beta 112.13
_cell_angle_gamma 90.00
loop_
_atom_site_label
_atom_site_type_symbol
_atom_site_fract_x
_atom_site_fract_y
_atom_site_fract_z
Rb1 Rb 0.003 0.250 0.253
V1 V 0.497 0.750 0.126
Cr1 Cr 0.435 0.750 0.609
S1 S 0.259 0.250 0.634
S2 S 0.317 0.250 0.007
S3 S 0.359 0.750 0.328
# Formation energy from raw total energies = -0.92 eV/atom
# V = 255.3 Å³ per cell